The following is a DFT calculation (PBE) of an optimized crystal structure of YZn6Au6.

Structure (POSCAR):
```
YZn6Au6
1.0
-2.6279 4.5357 4.6901
2.6279 -4.5357 4.6901
2.6279 4.5357 -4.6901
Y Zn Au
1 6 6
Direct
0.0000 0.0000 0.0000
0.0000 0.0000 0.5000
0.0000 0.5000 0.0000
0.2426 0.5000 0.7426
0.5000 0.0000 0.0000
0.5000 0.5000 0.5000
0.7574 0.5000 0.2574
0.1738 0.6738 0.5000
0.3353 0.0000 0.3353
0.3384 0.3384 0.0000
0.6616 0.6616 0.0000
0.6647 0.0000 0.6647
0.8262 0.3262 0.5000
```

- spin magnetization (μB per cell) = 0.0
- DFT total energy (eV/atom) = -2.958

The following is a DFT calculation (PBE) of an optimized crystal structure of Y2ZnAu.

Structure (POSCAR):
```
Y2ZnAu
1.0
3.6080 0.0000 0.0000
0.0000 3.6080 0.0000
0.0000 0.0000 7.0816
Y Zn Au
2 1 1
Direct
0.0000 0.0000 0.2480
0.0000 0.0000 0.7520
0.5000 0.5000 0.0000
0.5000 0.5000 0.5000
```

- spin magnetization (μB per cell) = 0.0
- DFT total energy (eV/atom) = -4.986